# 1
Material: HoTh2Os
Method: DFT, PBE
State: optimized geometry

Results
As for the density: 12.5 Mg/m³. The energy above the most stable polymorph in this dataset is 22.5 kJ per mole of atoms. The formation energy comes out at 0.01 eV per atom. Its crystal system is tetragonal.

a b c (Å): 3.655 3.655 8.172
angles (deg): 90.00 90.00 90.00
Space group P4/mmm (No. 123)
Unique sites:
Ho1 0.000 0.000 0.000
Th1 0.500 0.500 0.299
Os1 0.000 0.000 0.500


# 2
Material: Pu6H7N
Method: DFT, PBE
State: optimized geometry

Results
Its raw total energy is -8.75 eV/atom. As for the density: 12.3 Mg/m³. Its crystal system is trigonal.

a b c (Å): 6.8790 6.8790 14.6827
angles (deg): 90.00 90.00 120.00
Space group R3 (No. 146, hexagonal axes)
Unique sites:
Pu1 0.0041 0.6915 0.0000
Pu2 0.0276 0.3440 0.5060
H1 0.0000 0.0000 0.5841
H2 0.0082 0.6941 0.1651
H3 0.0206 0.3362 0.3405
N1 0.0000 0.0000 0.9191


# 3
Material: AgBiCl6
Method: DFT, PBE
State: optimized geometry

Results
As for the density: 3.8 Mg/m³. As for the formation energy from raw total energies: -390.1 kJ/mol of formula units. Its crystal system is triclinic.

a b c (Å): 6.375 6.664 6.993
angles (deg): 62.65 89.40 64.53
Space group P-1 (No. 2)
Unique sites:
Ag1 0.000 0.000 0.000
Bi1 0.500 0.000 0.500
Cl1 0.092 0.147 0.233
Cl2 0.228 0.169 0.752
Cl3 0.423 0.473 0.261


Please write out number 2 again, unchanged.
Material: Pu6H7N
Method: DFT, PBE
State: optimized geometry

Results
Its raw total energy is -8.75 eV/atom. As for the density: 12.3 Mg/m³. Its crystal system is trigonal.

a b c (Å): 6.8790 6.8790 14.6827
angles (deg): 90.00 90.00 120.00
Space group R3 (No. 146, hexagonal axes)
Unique sites:
Pu1 0.0041 0.6915 0.0000
Pu2 0.0276 0.3440 0.5060
H1 0.0000 0.0000 0.5841
H2 0.0082 0.6941 0.1651
H3 0.0206 0.3362 0.3405
N1 0.0000 0.0000 0.9191